Record 1
Here is a PBEsol-optimized structure of Er3S3OF from Alexandria. Energies are from SCAN.

```
Er3S3OF
1.0
-2.789 2.438 0.156
-2.222 -2.433 -1.701
-0.320 -3.822 9.925
Er S F O
3 3 1 1
Cartesian
0.000 0.000 0.000 Er
-1.773 -2.396 5.741 Er
-3.559 -1.421 2.639 Er
-4.602 -2.831 6.019 S
-0.729 -0.985 2.361 S
-2.506 0.003 -0.772 S
-2.524 -3.126 3.726 F
-2.808 -0.690 4.654 O
```

Computed properties:
Uncorrected formation energy (meV/atom): -3047.6
Magnetization (μB/f.u.): 0.0
Crystal system: tetragonal

Record 2
Here is a PBEsol-optimized structure of Sr2CdAg from Alexandria. Energies are from SCAN.

```
Sr2CdAg
1.0
-3.290 3.450 -2.339
-4.293 -1.759 -2.584
-4.841 0.837 2.015
Cd Sr Ag
1 2 1
Cartesian
-3.106 0.632 -0.727 Cd
-9.318 1.896 -2.181 Sr
0.000 0.000 0.000 Sr
-6.212 1.264 -1.454 Ag
```

Computed properties:
Magnetization (μB/f.u.): 0.0
Calculated formation energy (meV per atom): -115
Crystal system: cubic

Record 3
Here is a PBEsol-optimized structure of ZrPRh2 from Alexandria. Energies are from SCAN.

```
ZrPRh2
1.0
3.636 0.000 -0.003
0.000 3.815 0.000
-1.811 0.000 4.491
Zr Rh P
1 2 1
Cartesian
-0.672 0.000 2.486 Zr
1.136 0.000 4.487 Rh
1.126 1.908 0.961 Rh
1.154 1.908 3.288 P
```

Computed properties:
Magnetization (μB/f.u.): 0.0
Calculated formation energy (meV per atom): -798
Crystal system: monoclinic

Number 2 is which compound?
Sr2CdAg